Entry from the Open Quantum Materials Database: a geometry-optimized RbYCoO3 structure (PBE with a Hubbard U).

a b c (Å): 6.4656 6.4656 9.1107
angles (deg): 90.00 90.00 148.51
With the nearest neighbours (Å) after each atom.
Fractional coordinates of all 12 atoms:
Rb: 0.2228 0.7772 0.7500  8 O 2.93-3.24
Rb: 0.7772 0.2228 0.2500  8 O 2.93-3.24
Y: 0.5000 0.5000 0.0000  6 O 2.29-2.32
Y: 0.5000 0.5000 0.5000  6 O 2.29-2.32
Co: 0.0531 0.9469 0.2500  4 O 1.91-2.06
Co: 0.9469 0.0531 0.7500  4 O 1.91-2.06
O: 0.1111 0.8889 0.0555  1 Co 1.91
O: 0.1111 0.8889 0.4445  1 Co 1.91
O: 0.4660 0.5340 0.2500  2 Co 2.06
O: 0.5340 0.4660 0.7500  2 Co 2.06
O: 0.8889 0.1111 0.5555  1 Co 1.91
O: 0.8889 0.1111 0.9445  1 Co 1.91

Calculated values
As for the electronic total energy: -6.6461 eV/atom.